BeCrAs (PBE-GGA, optimized geometry); E above lowest polymorph = 0.000 eV/atom; uncorrected energy = -0.4406 Ry/atom; E_form = 0.01 eV per atom; ρ = 6475 kg/m3; total magnetization = 0.07 μB per formula unit
1.0
4.369 0.000 0.000
2.275 3.730 0.000
-3.322 -1.865 2.139
Be Cr As
1 1 1
Direct
0.331 0.331 0.000
0.668 0.668 0.000
0.001 0.001 0.000

Tb2Y3TmS6 (PBE-GGA, optimized geometry); uncorrected energy = -0.5008 Ry/atom; ρ = 6200 kg/m3; total magnetization = 0.00 μB per formula unit; uncorrected formation energy = -1.990 eV per atom
1.0
-3.254 0.624 2.058
-2.399 -7.301 -1.580
6.027 -1.204 6.198
S Tb Y Tm
6 2 3 1
Direct
0.664 0.081 0.328
0.001 0.756 0.001
0.666 0.584 0.332
0.336 0.919 0.672
0.334 0.416 0.668
0.999 0.244 0.999
0.168 0.335 0.335
0.832 0.665 0.665
0.832 0.168 0.664
0.500 0.500 0.000
0.168 0.832 0.336
0.500 0.000 0.000

TiGaHg2 (PBE-GGA, optimized geometry); uncorrected energy = -0.2135 Ry/atom; E_form = -0.02 eV per atom; ρ = 11265 kg/m3; total magnetization = 0.00 μB per formula unit
1.0
4.365 0.000 0.000
0.000 4.186 0.000
0.000 0.000 4.186
Ga Hg Ti
1 2 1
Direct
0.500 0.000 0.000
0.000 0.000 0.500
0.000 0.500 0.000
0.500 0.500 0.500

GaCoAu2 (PBE-GGA, optimized geometry); uncorrected energy = -0.2818 Ry/atom; E_form = 0.34 eV per atom; ρ = 12620 kg/m3; total magnetization = 1.84 μB per formula unit
1.0
2.806 0.000 0.000
1.403 2.430 0.000
1.403 0.810 10.088
Au Co Ga
2 1 1
Direct
0.915 0.915 0.255
0.085 0.085 0.745
0.000 0.000 0.000
0.500 0.500 0.500

Nd4H2CN (PBE-GGA, optimized geometry); uncorrected energy = -0.4441 Ry/atom; ρ = 7050 kg/m3; total magnetization = 0.00 μB per formula unit
1.0
3.686 0.000 0.000
0.000 6.365 0.123
0.000 -2.212 6.031
Nd N H C
4 1 2 1
Direct
0.500 0.239 0.227
0.500 0.761 0.773
0.000 0.254 0.770
0.000 0.746 0.230
0.000 0.000 0.000
0.000 0.500 0.500
0.500 0.000 0.500
0.500 0.500 0.000

Ac6Ir2AuS (PBE-GGA, optimized geometry); uncorrected energy = -0.4277 Ry/atom; ρ = 9198 kg/m3; total magnetization = 0.00 μB per formula unit; uncorrected formation energy = -0.842 eV per atom
1.0
-0.037 7.597 0.682
-3.435 3.280 5.968
4.901 3.329 5.868
S Ir Ac Au
1 2 6 1
Direct
0.324 0.324 0.027
0.510 0.509 0.472
0.002 0.003 0.993
0.907 0.603 0.249
0.602 0.242 0.249
0.124 0.386 0.743
0.747 0.124 0.743
0.386 0.747 0.743
0.242 0.906 0.249
0.818 0.818 0.547

Ba2In4PdPt3 (PBE-GGA, optimized geometry); uncorrected energy = -0.3297 Ry/atom; E_form = -0.67 eV per atom; ρ = 9409 kg/m3; total magnetization = 0.00 μB per formula unit
1.0
4.832 0.000 0.000
0.000 4.832 0.000
0.000 0.000 10.775
Pd Ba Pt In
1 2 3 4
Direct
0.500 0.500 0.500
0.500 0.000 0.262
0.000 0.500 0.738
0.500 0.000 0.872
0.000 0.500 0.128
0.000 0.000 0.500
0.000 0.000 0.000
0.000 0.500 0.381
0.500 0.000 0.619
0.500 0.500 0.000

La2BeIrI (PBE-GGA, optimized geometry); uncorrected energy = -0.3967 Ry/atom; ρ = 7206 kg/m3; total magnetization = 0.00 μB per formula unit; uncorrected formation energy = -0.599 eV per atom
1.0
-4.559 3.294 0.361
0.198 -0.342 5.623
2.579 3.556 0.125
Be I La Ir
1 1 2 1
Direct
0.000 0.000 0.500
0.500 0.500 0.500
0.500 0.000 0.000
0.000 0.500 0.000
0.000 0.000 0.000

BaPa4Re3N12 (PBE-GGA, optimized geometry); uncorrected energy = -0.6973 Ry/atom; ρ = 10417 kg/m3; total magnetization = 2.08 μB per formula unit; uncorrected formation energy = -0.630 eV per atom
1.0
-6.884 1.568 -1.313
0.484 -6.689 2.567
2.627 4.615 4.834
N Re Pa Ba
12 3 4 1
Direct
0.838 0.513 0.675
0.162 0.487 0.325
0.675 0.838 0.513
0.836 0.675 0.162
0.162 0.836 0.675
0.513 0.675 0.838
0.487 0.325 0.162
0.164 0.325 0.838
0.838 0.164 0.325
0.325 0.162 0.487
0.325 0.838 0.164
0.675 0.162 0.836
0.500 0.500 0.000
0.000 0.500 0.500
0.500 0.000 0.500
0.000 0.000 0.500
0.500 0.000 0.000
0.500 0.500 0.500
0.000 0.500 0.000
0.000 0.000 0.000

AcTc2O6 (PBE-GGA, optimized geometry); E above lowest polymorph = 0.000 eV/atom; uncorrected energy = -0.5890 Ry/atom; ρ = 6576 kg/m3; total magnetization = 5.00 μB per formula unit; uncorrected formation energy = -1.949 eV per atom
1.0
5.315 0.000 0.000
0.000 4.621 -2.668
0.000 0.000 5.336
O Ac Tc
6 1 2
Direct
0.291 0.000 0.623
0.291 0.377 0.377
0.291 0.623 0.000
0.709 0.623 0.623
0.709 0.377 0.000
0.709 0.000 0.377
0.000 0.000 0.000
0.500 0.667 0.333
0.500 0.333 0.667

NaTe2IO (PBE-GGA, optimized geometry); E above lowest polymorph = 1.377 eV/atom; uncorrected energy = -0.1313 Ry/atom; ρ = 4138 kg/m3; total magnetization = 0.43 μB per formula unit; uncorrected formation energy = 1.035 eV per atom
1.0
-5.154 1.922 -0.617
-1.543 -4.842 -2.193
-1.297 -1.864 5.027
Te O Na I
2 1 1 1
Direct
0.500 0.000 0.000
0.000 0.500 0.000
0.500 0.500 0.500
0.000 0.000 0.000
0.000 0.000 0.500

Mg4In2Bi (PBE-GGA, optimized geometry); E above lowest polymorph = 0.010 eV/atom; uncorrected energy = -0.1683 Ry/atom; E_form = -0.04 eV per atom; ρ = 4937 kg/m3; total magnetization = 0.00 μB per formula unit
1.0
-3.045 -5.572 -4.474
4.665 -3.374 5.215
-5.649 3.932 3.603
Mg In Bi
8 4 2
Direct
0.710 0.961 0.581
0.541 0.621 0.750
0.871 0.290 0.251
0.380 0.129 0.419
0.210 0.459 0.081
0.378 0.129 0.919
0.871 0.790 0.250
0.039 0.620 0.749
0.747 0.375 0.873
0.126 0.253 0.628
0.502 0.874 0.127
0.625 0.498 0.372
0.250 0.750 0.500
0.000 0.000 0.000